[1]
First-principles (PBE) data for a relaxed AsPRu2 crystal, as listed in the Alexandria database.

a = 3.253 Å, b = 3.253 Å, c = 5.506 Å
α = 90.00°, β = 90.00°, γ = 90.00°
Positions (direct):
As  0.000  0.000  0.000
P  0.500  0.500  0.345
Ru  0.000  0.000  0.464
Ru  0.500  0.500  0.820

## Properties
Total magnetization (Bohr magnetons per cell): 1.05
DFT formation energy (meV per atom): -99

---

[2]
First-principles (PBE) data for a relaxed SmPu2SeO4 crystal, as listed in the Alexandria database.

a = 3.892 Å, b = 3.892 Å, c = 8.855 Å
α = 90.00°, β = 90.00°, γ = 90.00°
Positions (direct):
Sm  0.000  0.000  0.000
Pu  0.500  0.500  0.286
Pu  0.500  0.500  0.714
Se  0.000  0.000  0.500
O  0.000  0.500  0.163
O  0.000  0.500  0.837
O  0.500  0.000  0.163
O  0.500  0.000  0.837

## Properties
Total magnetization (Bohr magnetons per cell): 9.00
Total DFT energy (no corrections) (eV per atom): -9.96

---

[3]
First-principles (PBE) data for a relaxed RbSr3Be crystal, as listed in the Alexandria database.

a = 6.297 Å, b = 6.297 Å, c = 6.297 Å
α = 90.00°, β = 90.00°, γ = 90.00°
Positions (direct):
Rb  0.000  0.000  0.000
Sr  0.000  0.500  0.500
Sr  0.500  0.000  0.500
Sr  0.500  0.500  0.000
Be  0.500  0.500  0.500

## Properties
Total magnetization (Bohr magnetons per cell): 0.00
DFT formation energy (meV per atom): 300

---

[4]
First-principles (PBE) data for a relaxed Pm5ThTl crystal, as listed in the Alexandria database.

a = 5.834 Å, b = 5.834 Å, c = 7.188 Å
α = 90.00°, β = 90.00°, γ = 90.00°
Positions (direct):
Pm  0.000  0.000  0.000
Pm  0.000  0.500  0.259
Pm  0.000  0.500  0.741
Pm  0.500  0.000  0.259
Pm  0.500  0.000  0.741
Th  0.500  0.500  0.500
Tl  0.500  0.500  0.000

## Properties
Total magnetization (Bohr magnetons per cell): 1.09
DFT formation energy (meV per atom): 314

---

[5]
First-principles (PBE) data for a relaxed LiNiTe2 crystal, as listed in the Alexandria database.

a = 3.652 Å, b = 4.285 Å, c = 5.094 Å
α = 90.00°, β = 90.00°, γ = 90.00°
Positions (direct):
Li  0.000  0.000  0.000
Ni  0.000  0.500  0.500
Te  0.500  0.000  0.500
Te  0.500  0.500  0.000

## Properties
Total magnetization (Bohr magnetons per cell): 0.00
Total DFT energy (no corrections) (eV per atom): -3.58

---

[6]
First-principles (PBE) data for a relaxed Ho4TlIn3 crystal, as listed in the Alexandria database.

a = 4.289 Å, b = 4.591 Å, c = 11.438 Å
α = 90.00°, β = 90.00°, γ = 90.00°
Positions (direct):
Ho  0.000  0.000  0.000
Ho  0.000  0.500  0.497
Ho  0.500  0.000  0.728
Ho  0.500  0.500  0.227
Tl  0.000  0.500  0.771
In  0.000  0.000  0.276
In  0.500  0.000  0.451
In  0.500  0.500  0.952

## Properties
Total magnetization (Bohr magnetons per cell): 0.00
DFT formation energy (meV per atom): -383

---

[7]
First-principles (PBE) data for a relaxed Co3CuRe crystal, as listed in the Alexandria database.

a = 4.170 Å, b = 4.170 Å, c = 4.170 Å
α = 90.00°, β = 90.00°, γ = 90.00°
Positions (direct):
Co  0.000  0.000  0.500
Co  0.000  0.500  0.000
Co  0.500  0.000  0.000
Cu  0.000  0.000  0.000
Re  0.500  0.500  0.500

## Properties
Total magnetization (Bohr magnetons per cell): 6.40
DFT formation energy (meV per atom): 1595

---

[8]
First-principles (PBE) data for a relaxed Co8H crystal, as listed in the Alexandria database.

a = 5.035 Å, b = 5.035 Å, c = 4.052 Å
α = 90.00°, β = 90.00°, γ = 120.00°
Positions (direct):
Co  0.170  0.340  0.246
Co  0.170  0.830  0.246
Co  0.333  0.667  0.753
Co  0.340  0.170  0.754
Co  0.660  0.830  0.246
Co  0.667  0.333  0.247
Co  0.830  0.170  0.754
Co  0.830  0.660  0.754
H  0.000  0.000  0.500

## Properties
Total magnetization (Bohr magnetons per cell): 12.72
Total DFT energy (no corrections) (eV per atom): -6.69

---

[9]
First-principles (PBE) data for a relaxed Fe2AuSe crystal, as listed in the Alexandria database.

a = 3.862 Å, b = 3.475 Å, c = 5.126 Å
α = 90.00°, β = 90.34°, γ = 90.00°
Positions (direct):
Fe  0.000  0.000  0.000
Fe  0.500  0.500  0.500
Au  0.000  0.000  0.500
Se  0.500  0.500  0.000

## Properties
Total magnetization (Bohr magnetons per cell): 6.11
Total DFT energy (no corrections) (eV per atom): -5.57

---

[10]
First-principles (PBE) data for a relaxed MgTl2Ge crystal, as listed in the Alexandria database.

a = 6.680 Å, b = 6.680 Å, c = 6.680 Å
α = 101.75°, β = 101.75°, γ = 126.34°
Positions (direct):
Mg  0.000  0.000  0.000
Mg  0.750  0.250  0.500
Tl  0.156  0.625  0.031
Tl  0.375  0.406  0.531
Tl  0.594  0.125  0.969
Tl  0.875  0.844  0.469
Ge  0.250  0.750  0.500
Ge  0.500  0.500  0.000

## Properties
Total magnetization (Bohr magnetons per cell): 0.00
DFT formation energy (meV per atom): 190

---

[11]
First-principles (PBE) data for a relaxed KY4P crystal, as listed in the Alexandria database.

a = 6.599 Å, b = 6.599 Å, c = 6.599 Å
α = 60.00°, β = 60.00°, γ = 60.00°
Positions (direct):
K  0.000  0.000  0.000
Y  0.376  0.376  0.376
Y  0.376  0.376  0.872
Y  0.376  0.872  0.376
Y  0.872  0.376  0.376
P  0.750  0.750  0.750

## Properties
Total magnetization (Bohr magnetons per cell): 0.00
DFT formation energy (meV per atom): 606

---

[12]
First-principles (PBE) data for a relaxed CsAcHg4 crystal, as listed in the Alexandria database.

a = 6.459 Å, b = 6.459 Å, c = 6.459 Å
α = 60.00°, β = 60.00°, γ = 60.00°
Positions (direct):
Cs  0.000  0.000  0.000
Ac  0.750  0.750  0.750
Hg  0.375  0.375  0.375
Hg  0.375  0.375  0.874
Hg  0.375  0.874  0.375
Hg  0.874  0.375  0.375

## Properties
Total magnetization (Bohr magnetons per cell): 0.00
DFT formation energy (meV per atom): -115

---

[13]
First-principles (PBE) data for a relaxed CaF crystal, as listed in the Alexandria database.

a = 6.222 Å, b = 6.222 Å, c = 6.222 Å
α = 113.06°, β = 113.06°, γ = 102.52°
Positions (direct):
Ca  0.122  0.125  0.497
Ca  0.375  0.878  0.003
Ca  0.628  0.625  0.503
Ca  0.875  0.372  0.997
F  0.298  0.625  0.173
F  0.375  0.548  0.673
F  0.452  0.125  0.827
F  0.875  0.702  0.327

## Properties
Total magnetization (Bohr magnetons per cell): 0.00
Total DFT energy (no corrections) (eV per atom): -4.74

---

[14]
First-principles (PBE) data for a relaxed LiNd6Er crystal, as listed in the Alexandria database.

a = 10.477 Å, b = 10.477 Å, c = 10.477 Å
α = 151.29°, β = 151.29°, γ = 41.04°
Positions (direct):
Li  0.000  0.000  0.000
Nd  0.119  0.619  0.500
Nd  0.252  0.252  0.000
Nd  0.381  0.881  0.500
Nd  0.619  0.119  0.500
Nd  0.748  0.748  0.000
Nd  0.881  0.381  0.500
Er  0.500  0.500  0.000

## Properties
Total magnetization (Bohr magnetons per cell): 0.00
DFT formation energy (meV per atom): 85

---

[15]
First-principles (PBE) data for a relaxed LaCr2Ru crystal, as listed in the Alexandria database.

a = 9.064 Å, b = 9.064 Å, c = 9.064 Å
α = 18.71°, β = 18.71°, γ = 18.71°
Positions (direct):
La  0.000  0.000  0.000
Cr  0.231  0.231  0.231
Cr  0.506  0.506  0.506
Ru  0.768  0.768  0.768

## Properties
Total magnetization (Bohr magnetons per cell): 0.11
DFT formation energy (meV per atom): 668

---

[16]
First-principles (PBE) data for a relaxed PmAl2CuAu crystal, as listed in the Alexandria database.

a = 6.309 Å, b = 6.309 Å, c = 6.309 Å
α = 142.94°, β = 140.07°, γ = 55.61°
Positions (direct):
Pm  0.000  0.000  0.000
Al  0.389  0.389  0.000
Al  0.740  0.240  0.500
Cu  0.603  0.603  0.000
Au  0.245  0.745  0.500

## Properties
Total magnetization (Bohr magnetons per cell): 0.00
DFT formation energy (meV per atom): -497

---

[17]
First-principles (PBE) data for a relaxed ZrZn2Ga2 crystal, as listed in the Alexandria database.

a = 7.491 Å, b = 7.491 Å, c = 3.067 Å
α = 90.00°, β = 90.00°, γ = 90.00°
Positions (direct):
Zr  0.000  0.000  0.000
Zr  0.500  0.500  0.000
Zn  0.166  0.334  0.500
Zn  0.334  0.834  0.500
Zn  0.666  0.166  0.500
Zn  0.834  0.666  0.500
Ga  0.132  0.632  0.000
Ga  0.368  0.132  0.000
Ga  0.632  0.868  0.000
Ga  0.868  0.368  0.000

## Properties
Total magnetization (Bohr magnetons per cell): 0.00
DFT formation energy (meV per atom): -144

---

[18]
First-principles (PBE) data for a relaxed Y2CoGe3Pt4 crystal, as listed in the Alexandria database.

a = 4.215 Å, b = 4.215 Å, c = 10.328 Å
α = 90.00°, β = 90.00°, γ = 90.00°
Positions (direct):
Y  0.000  0.500  0.244
Y  0.500  0.000  0.756
Co  0.500  0.500  0.000
Ge  0.000  0.000  0.000
Ge  0.000  0.500  0.637
Ge  0.500  0.000  0.363
Pt  0.000  0.000  0.500
Pt  0.000  0.500  0.870
Pt  0.500  0.000  0.130
Pt  0.500  0.500  0.500

## Properties
Total magnetization (Bohr magnetons per cell): 1.89
DFT formation energy (meV per atom): -789

---

[19]
First-principles (PBE) data for a relaxed Ta2TlCd crystal, as listed in the Alexandria database.

a = 5.412 Å, b = 5.412 Å, c = 5.344 Å
α = 100.61°, β = 100.61°, γ = 32.18°
Positions (direct):
Ta  0.000  0.000  0.000
Ta  0.722  0.722  0.188
Tl  0.243  0.243  0.705
Cd  0.479  0.479  0.476

## Properties
Total magnetization (Bohr magnetons per cell): 0.00
DFT formation energy (meV per atom): 479

---

[20]
First-principles (PBE) data for a relaxed RbTlS2 crystal, as listed in the Alexandria database.

a = 7.321 Å, b = 6.875 Å, c = 7.476 Å
α = 61.18°, β = 55.36°, γ = 63.46°
Positions (direct):
Rb  0.000  0.000  0.000
Rb  0.250  0.250  0.250
Tl  0.541  0.541  0.459
Tl  0.791  0.791  0.709
S  0.196  0.687  0.385
S  0.517  0.865  0.563
S  0.687  0.196  0.733
S  0.865  0.517  0.054

## Properties
Total magnetization (Bohr magnetons per cell): 0.00
Total DFT energy (no corrections) (eV per atom): -3.51

---

[21]
First-principles (PBE) data for a relaxed LiPuHg4 crystal, as listed in the Alexandria database.

a = 4.652 Å, b = 4.652 Å, c = 7.511 Å
α = 90.00°, β = 90.00°, γ = 90.00°
Positions (direct):
Li  0.000  0.000  0.000
Pu  0.500  0.500  0.500
Hg  0.000  0.500  0.208
Hg  0.000  0.500  0.792
Hg  0.500  0.000  0.208
Hg  0.500  0.000  0.792

## Properties
Total magnetization (Bohr magnetons per cell): 6.10
DFT formation energy (meV per atom): -39

---

[22]
First-principles (PBE) data for a relaxed HfTc2Mo crystal, as listed in the Alexandria database.

a = 4.506 Å, b = 4.506 Å, c = 3.193 Å
α = 90.00°, β = 90.00°, γ = 90.00°
Positions (direct):
Hf  0.000  0.000  0.000
Tc  0.000  0.500  0.500
Tc  0.500  0.000  0.500
Mo  0.500  0.500  0.000

## Properties
Total magnetization (Bohr magnetons per cell): 0.00
DFT formation energy (meV per atom): -276

---

[23]
First-principles (PBE) data for a relaxed HoTm6Sc4 crystal, as listed in the Alexandria database.

a = 9.457 Å, b = 9.457 Å, c = 9.457 Å
α = 141.38°, β = 141.38°, γ = 55.77°
Positions (direct):
Ho  0.000  0.000  0.000
Tm  0.000  0.500  0.500
Tm  0.172  0.538  0.000
Tm  0.462  0.462  0.634
Tm  0.500  0.000  0.500
Tm  0.538  0.172  0.000
Tm  0.828  0.828  0.366
Sc  0.016  0.016  0.362
Sc  0.346  0.984  0.000
Sc  0.654  0.654  0.638
Sc  0.984  0.346  0.000

## Properties
Total magnetization (Bohr magnetons per cell): 0.00
DFT formation energy (meV per atom): 334

---

[24]
First-principles (PBE) data for a relaxed SmZn3Cu8 crystal, as listed in the Alexandria database.

a = 4.972 Å, b = 4.972 Å, c = 8.102 Å
α = 90.00°, β = 90.00°, γ = 120.00°
Positions (direct):
Sm  0.000  0.000  0.000
Zn  0.000  0.000  0.395
Zn  0.667  0.333  0.486
Zn  0.667  0.333  0.820
Cu  0.165  0.331  0.677
Cu  0.165  0.835  0.677
Cu  0.333  0.667  0.434
Cu  0.333  0.667  0.934
Cu  0.503  0.007  0.198
Cu  0.503  0.497  0.198
Cu  0.669  0.835  0.677
Cu  0.993  0.497  0.198

## Properties
Total magnetization (Bohr magnetons per cell): 0.00
DFT formation energy (meV per atom): -67

---

[25]
First-principles (PBE) data for a relaxed ZrTl2Co crystal, as listed in the Alexandria database.

a = 9.085 Å, b = 9.085 Å, c = 9.085 Å
α = 21.94°, β = 21.94°, γ = 21.94°
Positions (direct):
Zr  0.000  0.000  0.000
Tl  0.233  0.233  0.233
Tl  0.463  0.463  0.463
Co  0.722  0.722  0.722

## Properties
Total magnetization (Bohr magnetons per cell): 0.00
DFT formation energy (meV per atom): 172

---

[26]
First-principles (PBE) data for a relaxed Ac5PrAg4 crystal, as listed in the Alexandria database.

a = 3.950 Å, b = 3.950 Å, c = 21.249 Å
α = 90.00°, β = 90.00°, γ = 90.00°
Positions (direct):
Ac  0.000  0.000  0.000
Ac  0.000  0.000  0.189
Ac  0.000  0.000  0.374
Ac  0.000  0.000  0.626
Ac  0.000  0.000  0.811
Pr  0.500  0.500  0.500
Ag  0.500  0.500  0.094
Ag  0.500  0.500  0.282
Ag  0.500  0.500  0.718
Ag  0.500  0.500  0.906

## Properties
Total magnetization (Bohr magnetons per cell): 0.00
DFT formation energy (meV per atom): -200